Ho2PtI | GGA-PBE | relaxed

Computed properties:
The density comes out at 9165 kg/m³. As for the symmetry: R3m (160). For the final energy, the calculation gives -21.2 eV per formula unit. The calculation puts the uncorrected formation energy at -1.11 eV per atom.

Cell lengths 4.1489, 4.1489, 8.2771 Å; angles 75.49, 75.49, 60.00 degrees
Element x y z (fractional)
Ho: 0.2744 0.2744 0.1769
Ho: 0.0607 0.0607 0.8180
Pt: 0.6672 0.6672 0.9984
I: 0.4978 0.4978 0.5067